# YNiNO2 (GGA+U, relaxed)
data_YNiNO2
_chemical_formula_sum 'Y1 Ni1 N1 O2'
_space_group_name_H-M_alt 'P 1'
_space_group_IT_number 1
_cell_length_a 3.797
_cell_length_b 3.797
_cell_length_c 3.753
_cell_angle_alpha 90.00
_cell_angle_beta 90.00
_cell_angle_gamma 90.00
loop_
_space_group_symop_operation_xyz
'x,y,z'
loop_
_atom_site_label
_atom_site_type_symbol
_atom_site_fract_x
_atom_site_fract_y
_atom_site_fract_z
Y1 Y 0.000 0.000 0.000
Ni1 Ni 0.500 0.500 0.500
N1 N 0.500 0.500 0.000
O1 O 0.000 0.500 0.500
O2 O 0.500 0.000 0.500
# Crystal system: tetragonal
# Space group: P4/mmm (123)
# E_tot: -6.5388 eV/atom
# Magnetic moment: 0.0082 μB per atom